# 1
Entry from the Alexandria database: crystalline MgZr2Br at its relaxed geometry (GGA-PBE).

abc: 4.221 4.221 5.253
angles: 90.00 90.00 90.00
Sites, in units of the cell vectors:
Mg  0.000  0.000  0.000
Zr  0.000  0.500  0.500
Zr  0.500  0.000  0.500
Br  0.500  0.500  0.000

Results
Energy relative to the elements, uncorrected, eV per atom: 0.193
Electronic total energy, eV per formula unit: -19.59
Total magnetic moment, Bohr magnetons per cell: 0.00
Density of states at the Fermi level, states/eV/atom: 1.03
E above lowest polymorph, eV/atom: 0.4703

***

# 2
Entry from the Alexandria database: crystalline DyEr3Pb5 at its relaxed geometry (GGA-PBE).

abc: 9.501 9.501 6.523
angles: 90.00 90.00 120.00
Sites, in units of the cell vectors:
Dy  0.000  0.000  0.000
Dy  0.000  0.000  0.500
Er  0.000  0.380  0.250
Er  0.000  0.620  0.750
Er  0.380  0.000  0.250
Er  0.380  0.380  0.750
Er  0.620  0.000  0.750
Er  0.620  0.620  0.250
Pb  0.000  0.290  0.750
Pb  0.000  0.710  0.250
Pb  0.290  0.000  0.750
Pb  0.290  0.290  0.250
Pb  0.333  0.667  0.000
Pb  0.333  0.667  0.500
Pb  0.667  0.333  0.000
Pb  0.667  0.333  0.500
Pb  0.710  0.000  0.250
Pb  0.710  0.710  0.750

Results
Formation enthalpy at 0 K, eV/atom: -0.3714
Electronic total energy, eV per formula unit: -40.18
Total magnetic moment, Bohr magnetons per cell: 0.00
Density of states at the Fermi level, states/eV/atom: 0.93

***

# 3
Entry from the Alexandria database: crystalline AcLaDyAg at its relaxed geometry (GGA-PBE).

abc: 8.005 8.005 8.005
angles: 90.00 90.00 90.00
Sites, in units of the cell vectors:
Ac  0.000  0.000  0.000
Ac  0.000  0.500  0.500
Ac  0.500  0.000  0.500
Ac  0.500  0.500  0.000
La  0.250  0.250  0.250
La  0.250  0.750  0.750
La  0.750  0.250  0.750
La  0.750  0.750  0.250
Dy  0.250  0.250  0.750
Dy  0.250  0.750  0.250
Dy  0.750  0.250  0.250
Dy  0.750  0.750  0.750
Ag  0.000  0.000  0.500
Ag  0.000  0.500  0.000
Ag  0.500  0.000  0.000
Ag  0.500  0.500  0.500

Results
Formation enthalpy at 0 K, eV/atom: 0.1608
Electronic total energy, eV per formula unit: -15.85
Total magnetic moment, Bohr magnetons per cell: 0.00
Density of states at the Fermi level, states/eV/atom: 1.89

***

# 4
Entry from the Alexandria database: crystalline Tm2ScTe5 at its relaxed geometry (GGA-PBE).

abc: 7.888 7.888 13.147
angles: 90.00 90.00 135.13
Sites, in units of the cell vectors:
Tm  0.163  0.837  0.562
Tm  0.163  0.837  0.938
Tm  0.837  0.163  0.062
Tm  0.837  0.163  0.438
Sc  0.198  0.802  0.250
Sc  0.802  0.198  0.750
Te  0.034  0.966  0.124
Te  0.034  0.966  0.376
Te  0.282  0.718  0.750
Te  0.326  0.674  0.080
Te  0.326  0.674  0.420
Te  0.674  0.326  0.580
Te  0.674  0.326  0.920
Te  0.718  0.282  0.250
Te  0.966  0.034  0.624
Te  0.966  0.034  0.876

Results
Energy relative to the elements, uncorrected, eV per atom: -1.126
Electronic total energy, eV per formula unit: -39.99
Total magnetic moment, Bohr magnetons per cell: 0.00
Density of states at the Fermi level, states/eV/atom: 0.45

***

Copy entry 3 word for word.
Entry from the Alexandria database: crystalline AcLaDyAg at its relaxed geometry (GGA-PBE).

abc: 8.005 8.005 8.005
angles: 90.00 90.00 90.00
Sites, in units of the cell vectors:
Ac  0.000  0.000  0.000
Ac  0.000  0.500  0.500
Ac  0.500  0.000  0.500
Ac  0.500  0.500  0.000
La  0.250  0.250  0.250
La  0.250  0.750  0.750
La  0.750  0.250  0.750
La  0.750  0.750  0.250
Dy  0.250  0.250  0.750
Dy  0.250  0.750  0.250
Dy  0.750  0.250  0.250
Dy  0.750  0.750  0.750
Ag  0.000  0.000  0.500
Ag  0.000  0.500  0.000
Ag  0.500  0.000  0.000
Ag  0.500  0.500  0.500

Results
Formation enthalpy at 0 K, eV/atom: 0.1608
Electronic total energy, eV per formula unit: -15.85
Total magnetic moment, Bohr magnetons per cell: 0.00
Density of states at the Fermi level, states/eV/atom: 1.89